# FeBiSb2F

An optimized crystal structure of FeBiSb2F (PBE with a Hubbard U, Alexandria).

SG ... P4/mmm (123)
V ... 123.3 Å³ per cell
Raw total energy ... -4.008 eV per atom

The structure in extended XYZ format:
```
5
Lattice="5.5698 0.0000 0.0000 0.0000 5.5698 0.0000 0.0000 0.0000 3.9748" Properties=species:S:1:pos:R:3 pbc="T T T"
Fe 0.0000 0.0000 0.0000
Bi 2.7849 2.7849 0.0000
Sb 0.0000 2.7849 1.9874
Sb 2.7849 0.0000 1.9874
F 0.0000 0.0000 1.9874
```